Record 1
Here is AlIn3O6 after structural relaxation from the Alexandria database. Energies are from GGA-PBE.

Cell: 6.267 6.267 6.267 Å, 91.20 91.20 91.20°
Positions (direct):
1 Al 0.000 0.000 0.000
2 Al 0.500 0.500 0.500
3 In 0.059 0.751 0.568
4 In 0.249 0.432 0.941
5 In 0.432 0.941 0.249
6 In 0.568 0.059 0.751
7 In 0.751 0.568 0.059
8 In 0.941 0.249 0.432
9 O 0.044 0.705 0.915
10 O 0.085 0.956 0.295
11 O 0.206 0.430 0.576
12 O 0.295 0.085 0.956
13 O 0.424 0.794 0.570
14 O 0.430 0.576 0.206
15 O 0.570 0.424 0.794
16 O 0.576 0.206 0.430
17 O 0.705 0.915 0.044
18 O 0.794 0.570 0.424
19 O 0.915 0.044 0.705
20 O 0.956 0.295 0.085

## Properties
* uncorrected energy: -6.08 eV/atom
* formation energy without anion corrections: -1.91 eV per atom
* space-group type: R-3, No. 148

=====

Record 2
Here is Al2InO after structural relaxation from the Alexandria database. Energies are from GGA-PBE.

Cell: 4.575 4.575 4.575 Å, 60.00 60.00 60.00°
Positions (direct):
1 Al 0.250 0.250 0.250
2 Al 0.750 0.750 0.750
3 In 0.000 0.000 0.000
4 O 0.500 0.500 0.500

## Properties
* uncorrected energy: -3.56 eV/atom
* DOS(E_F): 4.3 states/eV/f.u.
* formation energy without anion corrections: 0.23 eV per atom
* space-group type: Fm-3m, No. 225

=====

Record 3
Here is AlInO3 after structural relaxation from the Alexandria database. Energies are from GGA-PBE.

Cell: 4.051 4.051 4.051 Å, 90.00 90.00 90.00°
Positions (direct):
1 Al 0.000 0.000 0.000
2 In 0.500 0.500 0.500
3 O 0.000 0.500 0.500
4 O 0.500 0.000 0.500
5 O 0.500 0.500 0.000

## Properties
* uncorrected energy: -4.76 eV/atom
* DOS(E_F): 1.6 states/eV/f.u.
* formation energy without anion corrections: -0.49 eV per atom
* space-group type: Pm-3m, No. 221

=====

Record 4
Here is Al2InO4 after structural relaxation from the Alexandria database. Energies are from GGA-PBE.

Cell: 5.845 5.845 5.845 Å, 136.85 136.85 62.67°
Positions (direct):
1 Al 0.126 0.126 0.000
2 Al 0.874 0.874 0.000
3 In 0.500 0.500 0.000
4 O 0.000 0.500 0.500
5 O 0.292 0.292 0.000
6 O 0.500 0.000 0.500
7 O 0.708 0.708 0.000

## Properties
* uncorrected energy: -5.63 eV/atom
* DOS(E_F): 1.7 states/eV/f.u.
* formation energy without anion corrections: -1.33 eV per atom
* space-group type: I4/mmm, No. 139

=====

Q: Number 4 is which compound?
A: Al2InO4

=====

Q: Look up the formation energy without anion corrections of the fourth one.
A: -1.33 eV per atom

=====

What did the second record say?
Here is Al2InO after structural relaxation from the Alexandria database. Energies are from GGA-PBE.

Cell: 4.575 4.575 4.575 Å, 60.00 60.00 60.00°
Positions (direct):
1 Al 0.250 0.250 0.250
2 Al 0.750 0.750 0.750
3 In 0.000 0.000 0.000
4 O 0.500 0.500 0.500

## Properties
* uncorrected energy: -3.56 eV/atom
* DOS(E_F): 4.3 states/eV/f.u.
* formation energy without anion corrections: 0.23 eV per atom
* space-group type: Fm-3m, No. 225